The following is a GGA-PBEsol calculation of an optimized crystal structure of Sr2ScSnPb, from Alexandria via LeMat-Bulk.

Computed properties:
total magnetization = 1.4 μB/cell
DFT total energy = -3.267 eV per atom
density = 4.78 g/cm3
N(E_F) = 1.01 states/eV per atom

a b c (Å): 5.9070 5.9070 5.4355
angles (deg): 90.00 90.00 90.00
Atoms (fractional coordinates):
Sr 0.0000 0.5000 0.0000
Sr 0.5000 0.0000 0.0000
Sc 0.0000 0.0000 0.0000
Sn 0.5000 0.5000 0.5000
Pb 0.0000 0.0000 0.5000